A plane-wave DFT calculation with PBE+U was carried out for an optimized crystal structure of VCuN2O.

Properties
Raw total energy, eV/atom: -6.144

```
VCuN2O
1.0
-3.018 -1.170 -2.065
2.097 0.249 -3.206
1.078 -3.541 0.430
N O Cu V
2 1 1 1
Cartesian
1.048 0.124 -1.603
-1.509 -0.585 -1.032
0.539 -1.771 0.215
0.078 -2.231 -2.420
0.000 0.000 0.000
```